The following is a DFT calculation (GGA-PBE) of Cs3PdCl5 after structural relaxation.

* DOS at the Fermi energy: 0.2 states/eV/f.u.
* ΔE_f (raw): -12.40 eV/f.u.
* theoretical density: 3.32 g/cm3
* relative energy among the computed polymorphs: 0.1339 eV/atom

Lattice parameters (Å, degrees): 9.277 9.277 15.875 90.00 90.00 90.00
Space group I4/mcm (No. 140)
Symmetry-distinct sites (fractional):
Cs  0.000  0.000  0.250 x4
Cs  0.167  0.333  0.000 x8
Pd  0.000  0.500  0.250 x4
Cl  0.000  0.000  0.000 x4
Cl  0.134  0.366  0.354 x16

---

The following is a DFT calculation (GGA-PBE) of Pm3FeBi after structural relaxation.

* formation enthalpy at 0 K: -104 kJ/mol of formula units
* DOS at the Fermi energy: 6.1 states/eV/f.u.
* theoretical density: 8.11 g/cm3

Lattice parameters (Å, degrees): 5.234 5.234 5.234 90.00 90.00 90.00
Space group Pm-3m (No. 221)
Symmetry-distinct sites (fractional):
Pm  0.000  0.000  0.500 x3
Fe  0.000  0.000  0.000 x1
Bi  0.500  0.500  0.500 x1

---

The following is a DFT calculation (GGA-PBE) of Ac3PmEr2Se6 after structural relaxation.

* DOS at the Fermi energy: 4.8 states/eV/f.u.
* ΔE_f (raw): -21.58 eV/f.u.
* theoretical density: 8.17 g/cm3

Lattice parameters (Å, degrees): 7.242 12.579 7.686 90.00 108.42 90.00
Space group C2/m (No. 12)
Symmetry-distinct sites (fractional):
Ac  0.000  0.000  0.000 x2
Ac  0.000  0.337  0.000 x4
Pm  0.000  0.500  0.500 x2
Er  0.000  0.167  0.500 x4
Se  0.230  0.000  0.718 x4
Se  0.245  0.329  0.722 x8

---

The following is a DFT calculation (GGA-PBE) of TbDy4Er3 after structural relaxation.

* formation enthalpy at 0 K: 3 kJ/mol of formula units
* DOS at the Fermi energy: 12.7 states/eV/f.u.
* theoretical density: 8.66 g/cm3

Lattice parameters (Å, degrees): 11.158 7.217 6.239 90.00 90.00 90.00
Space group Pmn2_1 (No. 31)
Symmetry-distinct sites (fractional):
Tb  0.000  0.125  0.000 x2
Dy  0.000  0.374  0.500 x2
Dy  0.000  0.626  0.999 x2
Dy  0.249  0.625  0.333 x4
Er  0.000  0.876  0.500 x2
Er  0.250  0.124  0.333 x4

---

The following is a DFT calculation (GGA-PBE) of KYPb after structural relaxation.

* formation enthalpy at 0 K: -20 kJ/mol of formula units
* DOS at the Fermi energy: 1.7 states/eV/f.u.
* theoretical density: 5.10 g/cm3
* relative energy among the computed polymorphs: 0.2189 eV/atom

Lattice parameters (Å, degrees): 3.595 3.595 16.890 90.00 90.00 90.00
Space group I4mm (No. 107)
Symmetry-distinct sites (fractional):
K  0.000  0.000  0.000 x2
Y  0.000  0.000  0.714 x2
Pb  0.000  0.000  0.341 x2

---

The following is a DFT calculation (GGA-PBE) of Tb6Pm3Ho2Pu after structural relaxation.

* formation enthalpy at 0 K: 51 kJ/mol of formula units
* DOS at the Fermi energy: 24.0 states/eV/f.u.
* theoretical density: 8.51 g/cm3

Lattice parameters (Å, degrees): 6.175 10.700 11.777 90.00 100.12 90.00
Space group C2/m (No. 12)
Symmetry-distinct sites (fractional):
Tb  0.246  0.165  0.245 x8
Tb  0.248  0.000  0.755 x4
Pm  0.000  0.167  0.500 x4
Pm  0.000  0.500  0.500 x2
Ho  0.000  0.333  0.000 x4
Pu  0.000  0.000  0.000 x2

---

The following is a DFT calculation (GGA-PBE) of Hf2P2Pd after structural relaxation.

* formation enthalpy at 0 K: -473 kJ/mol of formula units
* DOS at the Fermi energy: 2.1 states/eV/f.u.
* theoretical density: 10.55 g/cm3

Lattice parameters (Å, degrees): 6.907 6.907 3.466 90.00 90.00 90.00
Space group P4/mbm (No. 127)
Symmetry-distinct sites (fractional):
Hf  0.160  0.340  0.000 x4
P  0.146  0.646  0.500 x4
Pd  0.000  0.000  0.500 x2

---

The following is a DFT calculation (GGA-PBE) of RbGeTe after structural relaxation.

* DOS at the Fermi energy: 0.8 states/eV/f.u.
* ΔE_f (raw): -1.21 eV/f.u.
* theoretical density: 4.41 g/cm3
* relative energy among the computed polymorphs: 0.0000 eV/atom

Lattice parameters (Å, degrees): 5.542 6.496 7.162 78.54 67.35 64.82
Space group P1 (No. 1)
Symmetry-distinct sites (fractional):
Rb  0.000  0.000  0.000 x1
Rb  0.228  0.249  0.295 x1
Ge  0.506  0.588  0.579 x1
Ge  0.900  0.662  0.716 x1
Te  0.590  0.125  0.648 x1
Te  0.619  0.625  0.148 x1